InHgPd: optimized geometry, PBE.

- M_tot (μB per formula unit) = 0.00
- formation enthalpy at 0 K (eV per atom) = -0.180
- space-group type = No. 107

abc: 3.551 3.551 5.368
angles: 109.32 109.32 90.00
Fractional coordinates of all 3 atoms:
In1 0.936 0.936 0.871
Hg1 0.622 0.622 0.244
Pd1 0.293 0.293 0.585